First-principles (PBE-GGA) data for an optimized crystal structure of MgMoSe4, as listed in Alexandria via LeMat-Bulk.

Properties
total DFT energy (no corrections)	-0.265	Ry per atom
M_tot	4.23	μB/cell
energy relative to the elements, uncorrected	792	meV/atom

Unit cell a=5.728 b=5.728 c=5.728 alpha=60.00 beta=60.00 gamma=60.00
Sites, in units of the cell vectors:
Mg 0.000 0.000 0.000
Mo 0.750 0.750 0.750
Se 0.375 0.375 0.375
Se 0.375 0.375 0.874
Se 0.375 0.874 0.375
Se 0.874 0.375 0.375